(1)
Here is an optimized crystal structure of Tl3SnB from Alexandria via LeMat-Bulk. Energies are from PBE.

Geometry as CIF:
```
data_Tl3SnB
_cell_length_a 5.8788
_cell_length_b 5.8788
_cell_length_c 5.8788
_cell_angle_alpha 90.00
_cell_angle_beta 90.00
_cell_angle_gamma 90.00
_symmetry_space_group_name_H-M 'P m -3 m'
_symmetry_Int_Tables_number 221
_symmetry_space_group_name_Hall '-P 4 2 3'
loop_
_atom_site_label
_atom_site_type_symbol
_atom_site_fract_x
_atom_site_fract_y
_atom_site_fract_z
Tl1 Tl 0.0000 0.0000 0.5000
Sn1 Sn 0.0000 0.0000 0.0000
B1 B 0.5000 0.5000 0.5000
```

As for the size of the total moment: 0.0 μB per formula unit. The value obtained for the energy above the most stable polymorph in this dataset is 703 meV/atom.



(2)
Here is an optimized crystal structure of PmPrSmDy from Alexandria via LeMat-Bulk. Energies are from PBE.

Geometry as CIF:
```
data_PmPrSmDy
_cell_length_a 8.1674
_cell_length_b 8.1674
_cell_length_c 8.1674
_cell_angle_alpha 90.00
_cell_angle_beta 90.00
_cell_angle_gamma 90.00
_symmetry_space_group_name_H-M 'F -4 3 m'
_symmetry_Int_Tables_number 216
_symmetry_space_group_name_Hall 'F -4 2 3'
loop_
_atom_site_label
_atom_site_type_symbol
_atom_site_fract_x
_atom_site_fract_y
_atom_site_fract_z
Pm1 Pm 0.0000 0.0000 0.0000
Pr1 Pr 0.0000 0.0000 0.5000
Sm1 Sm 0.2500 0.2500 0.2500
Dy1 Dy 0.2500 0.2500 0.7500
```

As for the size of the total moment: 0.0 μB per formula unit. The value obtained for the energy above the most stable polymorph in this dataset is 113 meV/atom.



(3)
Here is an optimized crystal structure of LiAgPb2S from Alexandria via LeMat-Bulk. Energies are from PBE.

Geometry as CIF:
```
data_LiAgPb2S
_cell_length_a 5.6806
_cell_length_b 5.6806
_cell_length_c 4.2184
_cell_angle_alpha 90.00
_cell_angle_beta 90.00
_cell_angle_gamma 90.00
_symmetry_space_group_name_H-M 'P 4/m m m'
_symmetry_Int_Tables_number 123
_symmetry_space_group_name_Hall '-P 4 2'
loop_
_atom_site_label
_atom_site_type_symbol
_atom_site_fract_x
_atom_site_fract_y
_atom_site_fract_z
Li1 Li 0.0000 0.0000 0.0000
Ag1 Ag 0.5000 0.5000 0.0000
Pb1 Pb 0.0000 0.5000 0.5000
S1 S 0.0000 0.0000 0.5000
```

As for the size of the total moment: 0.0 μB per formula unit. The energy relative to the elements, uncorrected is -0.113 eV/atom. The value obtained for the energy above the most stable polymorph in this dataset is 0 meV/atom.



(4)
Here is an optimized crystal structure of YLuIrRh from Alexandria via LeMat-Bulk. Energies are from PBE.

Geometry as CIF:
```
data_YLuIrRh
_cell_length_a 6.7896
_cell_length_b 6.7896
_cell_length_c 6.7896
_cell_angle_alpha 90.00
_cell_angle_beta 90.00
_cell_angle_gamma 90.00
_symmetry_space_group_name_H-M 'F -4 3 m'
_symmetry_Int_Tables_number 216
_symmetry_space_group_name_Hall 'F -4 2 3'
loop_
_atom_site_label
_atom_site_type_symbol
_atom_site_fract_x
_atom_site_fract_y
_atom_site_fract_z
Y1 Y 0.0000 0.0000 0.0000
Lu1 Lu 0.0000 0.0000 0.5000
Ir1 Ir 0.2500 0.2500 0.7500
Rh1 Rh 0.2500 0.2500 0.2500
```

As for the size of the total moment: 0.0 μB per formula unit. Its calculated total energy is -123.44 eV for the cell shown.



(5)
Here is an optimized crystal structure of NpTa2N5 from Alexandria via LeMat-Bulk. Energies are from PBE.

Geometry as CIF:
```
data_NpTa2N5
_cell_length_a 3.9969
_cell_length_b 10.4097
_cell_length_c 10.8259
_cell_angle_alpha 90.00
_cell_angle_beta 90.00
_cell_angle_gamma 90.00
_symmetry_space_group_name_H-M 'C m c m'
_symmetry_Int_Tables_number 63
_symmetry_space_group_name_Hall '-C 2c 2'
loop_
_atom_site_label
_atom_site_type_symbol
_atom_site_fract_x
_atom_site_fract_y
_atom_site_fract_z
Np1 Np 0.0000 0.1999 0.2500
Ta1 Ta 0.0000 0.1332 0.5564
N1 N 0.0000 0.0452 0.1120
N2 N 0.0000 0.2264 0.7500
N3 N 0.0000 0.3112 0.0718
```

As for the size of the total moment: 2.0 μB per formula unit. The energy relative to the elements, uncorrected is -1.023 eV/atom.



(6)
Here is an optimized crystal structure of BeI2Cl from Alexandria via LeMat-Bulk. Energies are from PBE.

Geometry as CIF:
```
data_BeI2Cl
_cell_length_a 7.2994
_cell_length_b 7.2994
_cell_length_c 7.2994
_cell_angle_alpha 90.00
_cell_angle_beta 90.00
_cell_angle_gamma 90.00
_symmetry_space_group_name_H-M 'F m -3 m'
_symmetry_Int_Tables_number 225
_symmetry_space_group_name_Hall '-F 4 2 3'
loop_
_atom_site_label
_atom_site_type_symbol
_atom_site_fract_x
_atom_site_fract_y
_atom_site_fract_z
Be1 Be 0.0000 0.0000 0.0000
I1 I 0.2500 0.2500 0.2500
Cl1 Cl 0.0000 0.0000 0.5000
```

As for the size of the total moment: 0.0 μB per formula unit. The energy relative to the elements, uncorrected is 0.605 eV/atom. The value obtained for the energy above the most stable polymorph in this dataset is 721 meV/atom.



Look up the size of the total moment of the first one.
0.0 μB per formula unit



size of the total moment of number 6 (BeI2Cl)?
0.0 μB per formula unit



Among the records above, which one has the highest size of the total moment?
NpTa2N5